Material: PrSiPd2
Method: DFT, meta-GGA SCAN
State: PBEsol geometry

Geometry as POSCAR:
```
PrSiPd2
1.0
5.6513 0.0000 0.0000
0.0000 6.8714 0.0000
0.0000 0.0000 7.5009
Pr Si Pd
4 4 8
Direct
0.6435 0.2500 0.0307 Pr
0.8565 0.2500 0.5307 Pr
0.3565 0.7500 0.9693 Pr
0.1435 0.7500 0.4693 Pr
0.3518 0.2500 0.3759 Si
0.1482 0.2500 0.8759 Si
0.6482 0.7500 0.6241 Si
0.8518 0.7500 0.1241 Si
0.0926 0.4470 0.1733 Pd
0.4074 0.0530 0.6733 Pd
0.9074 0.9470 0.8267 Pd
0.5926 0.5530 0.3267 Pd
0.9074 0.5530 0.8267 Pd
0.5926 0.9470 0.3267 Pd
0.0926 0.0530 0.1733 Pd
0.4074 0.4470 0.6733 Pd
```

SG: No. 62
calculated volume: 72.8 Å³/f.u.
energy: -491.06 eV/cell
uncorrected formation energy: -968 meV per atom